# 1
Nb2Sn2O7 after structural relaxation. Source: the Open Quantum Materials Database, functional GGA-PBE.

M_tot: 0.0000 μB per atom
electronic total energy: -7.726 eV per atom
SG: No. 227

Structure (POSCAR):
```
Nb2Sn2O7
1.0
5.3201 5.3201 0.0000
-5.3201 0.0000 5.3201
5.3201 -5.3201 0.0000
O Sn Nb
14 4 4
Direct
0.8167 0.7500 0.6833
0.5667 0.2500 0.3167
0.5667 0.6333 0.3167
0.4333 0.3667 0.6833
0.4333 0.7500 0.6833
0.8167 0.1333 0.0667
0.1250 0.7500 0.3750
0.1833 0.2500 0.3167
0.4333 0.7500 0.0667
0.1833 0.2500 0.9333
0.8167 0.7500 0.0667
0.1833 0.8667 0.9333
0.8750 0.2500 0.6250
0.5667 0.2500 0.9333
0.0000 0.0000 0.5000
0.0000 0.5000 0.5000
0.5000 0.0000 0.5000
0.0000 0.5000 0.0000
0.5000 0.5000 0.0000
0.0000 0.0000 0.0000
0.5000 0.5000 0.5000
0.5000 0.0000 0.0000
```

***

# 2
TbGaSiPt2 after structural relaxation. Source: the Open Quantum Materials Database, functional GGA-PBE.

M_tot: 0.0002 μB per atom
E above lowest polymorph: 0.000 eV/atom
SG: No. 129

Structure (POSCAR):
```
TbGaSiPt2
1.0
-1.5717 -2.4566 -3.0246
3.5015 -2.3213 0.0658
-4.1661 -6.0827 7.1053
Tb Pt Ga Si
2 4 2 2
Direct
0.5000 0.0000 0.2502
0.0000 0.5000 0.7498
0.5000 0.0000 0.6450
0.0000 0.5000 0.3550
0.0000 0.0000 0.0000
0.5000 0.5000 0.0000
0.5000 0.5000 0.5000
0.0000 0.0000 0.5000
0.0000 0.5000 0.1273
0.5000 0.0000 0.8727
```

***

# 3
DyLuPO after structural relaxation. Source: the Open Quantum Materials Database, functional GGA-PBE.

M_tot: 0.0037 μB per atom
E above lowest polymorph: 0.000 eV/atom
SG: No. 26

Structure (POSCAR):
```
DyLuPO
1.0
4.1328 0.0000 0.0000
0.0000 7.3025 0.0000
0.0000 0.0000 5.6973
O Lu P Dy
2 2 2 2
Direct
0.5000 0.1646 0.8802
0.5000 0.8354 0.3802
0.5000 0.1192 0.5035
0.5000 0.8808 0.0035
0.0000 0.3309 0.4320
0.0000 0.6691 0.9320
0.0000 0.2961 0.9383
0.0000 0.7039 0.4383
```

***

# 4
MgCoHgSe3 after structural relaxation. Source: the Open Quantum Materials Database, functional GGA-PBE.

M_tot: 0.4013 μB per atom
E above lowest polymorph: 0.000 eV/atom
SG: No. 63

Structure (POSCAR):
```
MgCoHgSe3
1.0
-4.2507 -1.0972 10.6143
2.8748 -5.5774 0.5747
0.5909 6.2113 0.8787
Co Mg Se Hg
2 2 6 2
Direct
0.7500 0.4638 0.5362
0.2500 0.5362 0.4638
0.7500 0.7675 0.2325
0.2500 0.2325 0.7675
0.0906 0.6596 0.3404
0.4094 0.6596 0.3404
0.2500 0.9206 0.0794
0.7500 0.0794 0.9206
0.5906 0.3404 0.6596
0.9094 0.3404 0.6596
0.0000 0.0000 0.0000
0.5000 0.0000 0.0000
```

***

# 5
Gd2DyCd3AgAu2 after structural relaxation. Source: the Open Quantum Materials Database, functional GGA-PBE.

M_tot: 0.0011 μB per atom
calculated formation energy: -0.583 eV per atom
SG: No. 38

Structure (POSCAR):
```
Gd2DyCd3AgAu2
1.0
3.8606 0.0000 0.0000
0.0000 6.8132 3.9450
0.0000 -6.8132 3.9450
Cd Ag Gd Au Dy
3 1 2 2 1
Direct
0.5000 0.9992 0.7386
0.5000 0.2622 0.2622
0.5000 0.7386 0.9992
0.0000 0.9993 0.9993
0.0000 0.4076 0.0000
0.0000 0.0000 0.4076
0.5000 0.6662 0.3350
0.5000 0.3350 0.6662
0.0000 0.5920 0.5920
```

***

# 6
CdTePbO after structural relaxation. Source: the Open Quantum Materials Database, functional GGA-PBE.

E above lowest polymorph: 0.013 eV/atom
SG: No. 129

Structure (POSCAR):
```
CdTePbO
1.0
-3.3078 2.1372 1.2696
-1.5438 -3.4225 1.7390
6.2565 2.9429 11.3462
Te Cd O Pb
2 2 2 2
Direct
0.5000 0.0000 0.3650
0.0000 0.5000 0.6350
0.0000 0.5000 0.4149
0.5000 0.0000 0.5851
0.5000 0.5000 0.0000
0.0000 0.0000 0.0000
0.5000 0.0000 0.0862
0.0000 0.5000 0.9138
```

***

# 7
NdMg after structural relaxation. Source: the Open Quantum Materials Database, functional GGA-PBE.

M_tot: 0.2531 μB per atom
E above lowest polymorph: 0.204 eV/atom
SG: No. 198

Structure (POSCAR):
```
NdMg
1.0
-2.6303 -5.3406 -1.9709
4.3501 -3.2861 3.0990
-3.6720 -0.0674 5.0830
Nd Mg
4 4
Direct
0.6667 0.1667 0.3333
0.1667 0.3333 0.6667
0.8333 0.8333 0.8333
0.3333 0.6667 0.1667
0.6555 0.3445 0.8445
0.1555 0.1555 0.1555
0.8445 0.6555 0.3445
0.3445 0.8445 0.6555
```

***

# 8
AgAu after structural relaxation. Source: the Open Quantum Materials Database, functional GGA-PBE.

calculated formation energy: 0.239 eV per atom
SG: No. 225

Structure (POSCAR):
```
AgAu
1.0
0.6788 -3.2256 2.0282
-1.8195 -3.2877 -0.9271
1.9726 -2.9167 -1.6063
Au Ag
1 1
Direct
0.5000 0.5000 0.5000
0.0000 0.0000 0.0000
```

***

Which formula does entry 7 have?
NdMg

***

Number 4 is which compound?
MgCoHgSe3